This record from Alexandria via LeMat-Bulk describes a relaxed structure of TmInGa2Pd2. The functional is GGA-PBE.

```
TmInGa2Pd2
1.0
4.446 0.000 0.000
-2.223 3.851 0.000
0.000 0.000 6.542
Tm In Ga Pd
1 1 2 2
Cartesian
0.000 0.000 0.000
0.000 0.000 3.271
0.000 2.567 1.580
2.223 1.284 4.962
0.000 2.567 4.701
2.223 1.284 1.841
```

Summary:
The calculation puts the calculated density at 9.43 Mg/m³. Its space group is P-3m1, No. 164. The value obtained for the density of states at the Fermi level is 1.82 states/eV/cell. For the electronic total energy, the calculation gives -27.5 eV for the cell shown.


This record from Alexandria via LeMat-Bulk describes a relaxed structure of YInGa2Pd5. The functional is GGA-PBE.

```
YInGa2Pd5
1.0
4.190 0.000 0.000
0.000 4.190 0.000
0.000 0.000 9.298
Y In Ga Pd
1 1 2 5
Cartesian
0.000 0.000 0.000
0.000 0.000 4.649
2.095 2.095 3.416
2.095 2.095 5.882
0.000 2.095 2.064
0.000 2.095 7.234
2.095 0.000 2.064
2.095 0.000 7.234
2.095 2.095 0.000
```

Summary:
The calculation puts the calculated density at 8.90 Mg/m³. Its space group is P4/mmm, No. 123. The value obtained for the density of states at the Fermi level is 4.16 states/eV/cell. For the electronic total energy, the calculation gives -46.5 eV for the cell shown.


This record from Alexandria via LeMat-Bulk describes a relaxed structure of Y2InGa2Pd5. The functional is GGA-PBE.

```
Y2InGa2Pd5
1.0
9.928 0.000 0.000
0.000 9.928 0.000
0.000 0.000 3.770
Y In Ga Pd
4 2 4 10
Cartesian
1.750 3.214 0.000
3.214 8.179 0.000
6.714 1.750 0.000
8.179 6.714 0.000
0.000 0.000 0.000
4.964 4.964 0.000
1.209 6.173 0.000
3.755 1.209 0.000
6.173 8.719 0.000
8.719 3.755 0.000
0.000 4.964 1.885
0.635 7.841 1.885
2.087 0.635 1.885
2.877 5.599 1.885
4.329 2.877 1.885
4.964 0.000 1.885
5.599 7.052 1.885
7.052 4.329 1.885
7.841 9.293 1.885
9.293 2.087 1.885
```

Summary:
The calculation puts the calculated density at 8.62 Mg/m³. Its space group is P4/mbm, No. 127. The value obtained for the density of states at the Fermi level is 14.30 states/eV/cell. For the electronic total energy, the calculation gives -110.3 eV for the cell shown.


This record from Alexandria via LeMat-Bulk describes a relaxed structure of Y2InGa3Pd4. The functional is GGA-PBE.

```
Y2InGa3Pd4
1.0
4.084 0.000 0.000
0.000 4.084 0.000
0.000 0.000 11.599
Y In Ga Pd
2 1 3 4
Cartesian
0.000 2.042 2.823
2.042 0.000 8.776
0.000 0.000 5.800
0.000 2.042 10.089
2.042 0.000 1.511
2.042 2.042 5.800
0.000 0.000 0.000
0.000 2.042 7.613
2.042 0.000 3.986
2.042 2.042 0.000
```

Summary:
The calculation puts the calculated density at 7.96 Mg/m³. Its space group is P-4m2, No. 115. The value obtained for the density of states at the Fermi level is 5.51 states/eV/cell. For the electronic total energy, the calculation gives -53.0 eV for the cell shown.


This record from Alexandria via LeMat-Bulk describes a relaxed structure of YInGaPd. The functional is GGA-PBE.

```
YInGaPd
1.0
0.000 3.443 3.443
3.443 0.000 3.443
3.443 3.443 0.000
Y In Ga Pd
1 1 1 1
Cartesian
0.000 0.000 0.000
3.443 3.443 3.443
1.721 1.721 1.721
5.164 5.164 5.164
```

Summary:
The calculation puts the calculated density at 7.73 Mg/m³. Its space group is F-43m, No. 216. The value obtained for the density of states at the Fermi level is 3.00 states/eV/cell. For the electronic total energy, the calculation gives -19.8 eV for the cell shown.


This record from Alexandria via LeMat-Bulk describes a relaxed structure of YIn2GaPd4. The functional is GGA-PBE.

```
YIn2GaPd4
1.0
2.355 1.360 7.575
-2.355 1.360 7.575
0.000 -2.720 7.575
Y In Ga Pd
1 2 1 4
Cartesian
0.000 0.000 0.000
0.000 0.000 5.766
0.000 0.000 16.960
0.000 0.000 11.363
0.000 0.000 2.970
0.000 0.000 8.844
0.000 0.000 13.882
0.000 0.000 19.756
```

Summary:
The calculation puts the calculated density at 9.28 Mg/m³. Its space group is R-3m, No. 166. The value obtained for the density of states at the Fermi level is 2.26 states/eV/cell. For the electronic total energy, the calculation gives -41.0 eV for the cell shown.


This record from Alexandria via LeMat-Bulk describes a relaxed structure of ZnInGaPd. The functional is GGA-PBE.

```
ZnInGaPd
1.0
3.492 0.000 0.000
0.000 3.036 0.000
-1.735 0.000 6.966
Zn In Ga Pd
1 1 1 1
Cartesian
0.000 0.000 0.000
1.772 1.518 4.589
1.761 1.518 1.464
0.027 0.000 2.842
```

Summary:
The calculation puts the calculated density at 8.01 Mg/m³. Its space group is Pm, No. 6. The value obtained for the density of states at the Fermi level is 1.84 states/eV/cell. For the electronic total energy, the calculation gives -13.1 eV for the cell shown.


This record from Alexandria via LeMat-Bulk describes a relaxed structure of ZnInGaPd2. The functional is GGA-PBE.

```
ZnInGaPd2
1.0
5.046 0.000 0.000
0.000 5.046 0.000
0.000 0.000 4.932
Zn In Ga Pd
1 1 1 2
Cartesian
0.000 0.000 0.000
0.000 0.000 2.466
2.523 2.523 0.000
0.000 2.523 2.466
2.523 0.000 2.466
```

Summary:
The calculation puts the calculated density at 6.12 Mg/m³. Its space group is P4/mmm, No. 123. The value obtained for the density of states at the Fermi level is 2.71 states/eV/cell. For the electronic total energy, the calculation gives -14.6 eV for the cell shown.


This record from Alexandria via LeMat-Bulk describes a relaxed structure of ZnInGaPd. The functional is GGA-PBE.

```
ZnInGaPd
1.0
2.663 -1.615 0.000
2.663 1.615 0.000
-1.972 0.000 8.456
Zn In Ga Pd
1 1 1 1
Cartesian
0.000 0.000 0.000
1.542 0.000 2.381
1.521 0.000 6.421
3.347 0.000 4.580
```

Summary:
The calculation puts the calculated density at 8.14 Mg/m³. Its space group is Cm, No. 8. The value obtained for the density of states at the Fermi level is 1.35 states/eV/cell. For the electronic total energy, the calculation gives -13.0 eV for the cell shown.


This record from Alexandria via LeMat-Bulk describes a relaxed structure of Zn2In2GaPd5. The functional is GGA-PBE.

```
Zn2In2GaPd5
1.0
10.603 0.000 0.000
0.000 10.603 0.000
0.000 0.000 3.031
Zn In Ga Pd
4 4 2 10
Cartesian
1.493 3.808 0.000
3.808 9.110 0.000
6.795 1.493 0.000
9.110 6.795 0.000
1.632 6.933 0.000
3.670 1.632 0.000
6.933 8.971 0.000
8.971 3.670 0.000
0.000 0.000 0.000
5.301 5.301 0.000
0.000 5.301 1.515
1.316 1.674 1.515
1.674 9.287 1.515
3.627 3.985 1.515
3.985 6.976 1.515
5.301 0.000 1.515
6.618 3.627 1.515
6.976 6.618 1.515
8.928 1.316 1.515
9.287 8.928 1.515
```

Summary:
The calculation puts the calculated density at 9.38 Mg/m³. Its space group is P4/mbm, No. 127. The value obtained for the density of states at the Fermi level is 5.63 states/eV/cell. For the electronic total energy, the calculation gives -82.8 eV for the cell shown.


This record from Alexandria via LeMat-Bulk describes a relaxed structure of ZnInGaPd. The functional is GGA-PBE.

```
ZnInGaPd
1.0
4.480 -1.684 0.000
4.480 1.684 0.000
-4.080 0.000 4.861
Zn In Ga Pd
1 1 1 1
Cartesian
0.000 0.000 0.000
-0.233 0.000 2.711
2.337 0.000 1.139
2.331 0.000 3.932
```

Summary:
The calculation puts the calculated density at 8.07 Mg/m³. Its space group is Cm, No. 8. The value obtained for the density of states at the Fermi level is 1.27 states/eV/cell. For the electronic total energy, the calculation gives -13.2 eV for the cell shown.


This record from Alexandria via LeMat-Bulk describes a relaxed structure of ZnInGaPd. The functional is GGA-PBE.

```
ZnInGaPd
1.0
3.455 0.000 0.000
0.000 4.253 0.000
-1.309 0.000 4.955
Zn In Ga Pd
1 1 1 1
Cartesian
0.000 0.000 0.000
0.372 0.000 2.635
1.726 2.126 0.701
2.043 2.126 3.447
```

Summary:
The calculation puts the calculated density at 8.13 Mg/m³. Its space group is Pm, No. 6. The value obtained for the density of states at the Fermi level is 1.59 states/eV/cell. For the electronic total energy, the calculation gives -13.1 eV for the cell shown.


This record from Alexandria via LeMat-Bulk describes a relaxed structure of ZnInGaPd. The functional is GGA-PBE.

```
ZnInGaPd
1.0
-1.600 1.600 7.414
1.600 -1.600 7.414
1.600 1.600 -7.414
Zn In Ga Pd
1 1 1 1
Cartesian
0.000 0.000 0.000
0.000 0.000 2.653
0.000 0.000 5.840
0.000 0.000 11.855
```

Summary:
The calculation puts the calculated density at 7.80 Mg/m³. Its space group is I4mm, No. 107. The value obtained for the density of states at the Fermi level is 0.99 states/eV/cell. For the electronic total energy, the calculation gives -13.1 eV for the cell shown.


This record from Alexandria via LeMat-Bulk describes a relaxed structure of ZnInGaPd. The functional is GGA-PBE.

```
ZnInGaPd
1.0
1.565 0.903 8.572
-1.565 0.903 8.572
0.000 -1.807 8.572
Zn In Ga Pd
1 1 1 1
Cartesian
0.000 0.000 0.000
0.000 0.000 19.529
0.000 0.000 6.464
0.000 0.000 13.161
```

Summary:
The calculation puts the calculated density at 8.14 Mg/m³. Its space group is R3m, No. 160. The value obtained for the density of states at the Fermi level is 1.40 states/eV/cell. For the electronic total energy, the calculation gives -13.0 eV for the cell shown.


This record from Alexandria via LeMat-Bulk describes a relaxed structure of ZnIn2GaPd. The functional is GGA-PBE.

```
ZnIn2GaPd
1.0
5.136 0.000 0.000
0.000 5.136 0.000
0.000 0.000 4.877
Zn In Ga Pd
1 2 1 1
Cartesian
0.000 0.000 0.000
0.000 2.568 2.439
2.568 0.000 2.439
2.568 2.568 0.000
0.000 0.000 2.439
```

Summary:
The calculation puts the calculated density at 6.08 Mg/m³. Its space group is P4/mmm, No. 123. The value obtained for the density of states at the Fermi level is 2.09 states/eV/cell. For the electronic total energy, the calculation gives -14.8 eV for the cell shown.


This record from Alexandria via LeMat-Bulk describes a relaxed structure of ZnInGaPd. The functional is GGA-PBE.

```
ZnInGaPd
1.0
-1.425 2.125 6.321
1.425 -2.125 6.321
1.425 2.125 -6.321
Zn In Ga Pd
1 1 1 1
Cartesian
0.000 0.000 0.000
0.000 0.000 7.778
1.425 0.000 4.105
0.000 2.125 4.010
```

Summary:
The calculation puts the calculated density at 7.73 Mg/m³. Its space group is Imm2, No. 44. The value obtained for the density of states at the Fermi level is 1.22 states/eV/cell. For the electronic total energy, the calculation gives -13.2 eV for the cell shown.


This record from Alexandria via LeMat-Bulk describes a relaxed structure of ZnInGaPd. The functional is GGA-PBE.

```
ZnInGaPd
1.0
4.262 0.000 0.000
0.000 2.837 0.000
-2.111 0.000 6.528
Zn In Ga Pd
1 1 1 1
Cartesian
0.000 0.000 0.000
2.133 1.418 1.469
0.022 0.000 4.225
2.152 1.418 4.263
```

Summary:
The calculation puts the calculated density at 7.50 Mg/m³. Its space group is Pm, No. 6. The value obtained for the density of states at the Fermi level is 1.57 states/eV/cell. For the electronic total energy, the calculation gives -13.1 eV for the cell shown.


This record from Alexandria via LeMat-Bulk describes a relaxed structure of ZnInGaPd. The functional is GGA-PBE.

```
ZnInGaPd
1.0
3.524 0.000 0.000
1.732 4.386 0.000
1.638 0.882 4.813
Zn In Ga Pd
1 1 1 1
Cartesian
0.000 0.000 0.000
3.395 2.830 3.539
1.757 0.845 1.895
3.506 2.549 0.852
```

Summary:
The calculation puts the calculated density at 7.95 Mg/m³. Its space group is P1, No. 1. The value obtained for the density of states at the Fermi level is 1.01 states/eV/cell. For the electronic total energy, the calculation gives -13.2 eV for the cell shown.


This record from Alexandria via LeMat-Bulk describes a relaxed structure of ZnInGaPd. The functional is GGA-PBE.

```
ZnInGaPd
1.0
2.195 -2.190 0.000
2.195 2.190 0.000
-2.070 0.000 7.784
Zn In Ga Pd
1 1 1 1
Cartesian
0.000 0.000 0.000
0.118 0.000 5.755
0.001 0.000 3.022
2.201 0.000 1.567
```

Summary:
The calculation puts the calculated density at 7.90 Mg/m³. Its space group is Cm, No. 8. The value obtained for the density of states at the Fermi level is 0.82 states/eV/cell. For the electronic total energy, the calculation gives -13.2 eV for the cell shown.


This record from Alexandria via LeMat-Bulk describes a relaxed structure of ZnInGaPd. The functional is GGA-PBE.

```
ZnInGaPd
1.0
3.001 0.000 0.000
0.026 4.728 0.000
1.462 2.114 5.133
Zn In Ga Pd
1 1 1 1
Cartesian
0.000 0.000 0.000
3.005 2.045 2.348
3.003 4.484 4.496
1.518 4.390 2.185
```

Summary:
The calculation puts the calculated density at 8.13 Mg/m³. Its space group is P1, No. 1. The value obtained for the density of states at the Fermi level is 1.38 states/eV/cell. For the electronic total energy, the calculation gives -13.0 eV for the cell shown.